[1]
# PBE Ac2Pr2Au5, relaxed
# - DFT formation energy: -0.723 eV/atom
# - ρ: 10.8 g/cm³
data_Ac2Pr2Au5
_space_group_name_H-M_alt 'C m c e'
_space_group_IT_number 64
_space_group_name_Hall '-C 2ac 2'
_cell_length_a 15.898
_cell_length_b 8.165
_cell_length_c 8.182
_cell_angle_alpha 90.00
_cell_angle_beta 90.00
_cell_angle_gamma 90.00
loop_
_atom_site_label
_atom_site_type_symbol
_atom_site_fract_x
_atom_site_fract_y
_atom_site_fract_z
Ac1 Ac 0.197 0.000 0.000
Pr1 Pr 0.000 0.159 0.341
Au1 Au 0.000 0.000 0.000
Au2 Au 0.130 0.143 0.642

[2]
# PBE Ac4PrAu4, relaxed
# - DFT formation energy: -0.612 eV/atom
# - ρ: 9.7 g/cm³
data_Ac4PrAu4
_space_group_name_H-M_alt 'P 42/n'
_space_group_IT_number 86
_cell_length_a 9.855
_cell_length_b 9.855
_cell_length_c 6.447
_cell_angle_alpha 90.00
_cell_angle_beta 90.00
_cell_angle_gamma 90.00
loop_
_space_group_symop_operation_xyz
'x,y,z'
'-x,-y,-z'
'-y,x+1/2,z+1/2'
'y,-x+1/2,-z+1/2'
'-x+1/2,-y+1/2,z'
'x+1/2,y+1/2,-z'
'y+1/2,-x,z+1/2'
'-y+1/2,x,-z+1/2'
loop_
_atom_site_label
_atom_site_type_symbol
_atom_site_fract_x
_atom_site_fract_y
_atom_site_fract_z
Ac1 Ac 0.047 0.659 0.189
Pr1 Pr 0.250 0.250 0.250
Au1 Au 0.036 0.648 0.684

[3]
# PBE Ac2Pr2Au3, relaxed
# - DFT formation energy: -0.602 eV/atom
# - ρ: 10.2 g/cm³
data_Ac2Pr2Au3
_space_group_name_H-M_alt 'I 21 3'
_space_group_IT_number 199
_space_group_name_Hall 'I 2b 2c 3'
_cell_length_a 9.534
_cell_length_b 9.534
_cell_length_c 9.534
_cell_angle_alpha 90.00
_cell_angle_beta 90.00
_cell_angle_gamma 90.00
loop_
_atom_site_label
_atom_site_type_symbol
_atom_site_fract_x
_atom_site_fract_y
_atom_site_fract_z
Ac1 Ac 0.064 0.436 0.564
Pr1 Pr 0.185 0.185 0.185
Au1 Au 0.000 0.250 0.880

DOS(E_F) across the listed records, respectively: 0.657; 1.102; 1.563 states/eV per atom.
Volume across the listed records, respectively: 29.503; 34.786; 30.955 Å³/atom.
Magnetic moment across the listed records, respectively: 0.00; 0.00; 0.00 μB/f.u..